No. 1
A relaxed AlCrBr crystal, computed with PBE-GGA.

a b c (Å): 4.5280 4.5280 3.3026
angles (deg): 90.00 90.00 120.00
Element x y z (fractional)
Al 0.0000 0.0000 0.0000
Cr 0.6667 0.3333 0.5000
Br 0.3333 0.6667 0.5000

space group	No. 187
energy above the lowest structure with this stoichiometry	0.234	eV per atom
formation energy from raw total energies	1.38	eV per formula unit

***

No. 2
A relaxed AlCrBr2 crystal, computed with PBE-GGA.

a b c (Å): 3.5744 6.5349 9.4577
angles (deg): 90.00 90.00 90.00
Element x y z (fractional)
Al 0.0000 0.0000 0.0000
Al 0.5000 0.5000 0.0000
Cr 0.0000 0.0000 0.5000
Cr 0.5000 0.5000 0.5000
Br 0.0000 0.5000 0.3090
Br 0.0000 0.5000 0.6910
Br 0.5000 0.0000 0.3090
Br 0.5000 0.0000 0.6910

space group	No. 65
energy above the lowest structure with this stoichiometry	0.222	eV per atom
formation energy from raw total energies	0.00	eV per formula unit

***

No. 3
A relaxed AlCrBr2 crystal, computed with PBE-GGA.

a b c (Å): 3.7658 3.2990 8.1674
angles (deg): 90.00 103.26 90.00
Element x y z (fractional)
Al 0.0000 0.0000 0.0000
Cr 0.5371 0.5000 0.0727
Br 0.4013 0.5000 0.7650
Br 0.6509 0.0000 0.3046

space group	No. 6
energy above the lowest structure with this stoichiometry	0.071	eV per atom
formation energy from raw total energies	-0.61	eV per formula unit

***

No. 4
A relaxed Al2CrBr crystal, computed with PBE-GGA.

a b c (Å): 4.4010 4.4010 7.9595
angles (deg): 90.00 90.00 90.00
Element x y z (fractional)
Al 0.0000 0.0000 0.0000
Al 0.0000 0.5000 0.2500
Al 0.5000 0.0000 0.7500
Al 0.5000 0.5000 0.5000
Cr 0.0000 0.0000 0.5000
Cr 0.5000 0.5000 0.0000
Br 0.0000 0.5000 0.7500
Br 0.5000 0.0000 0.2500

space group	No. 119
energy above the lowest structure with this stoichiometry	0.394	eV per atom
formation energy from raw total energies	2.06	eV per formula unit

***

No. 5
A relaxed CsAlCr2Br crystal, computed with PBE-GGA.

a b c (Å): 5.0712 5.0712 7.4905
angles (deg): 90.00 90.00 90.00
Element x y z (fractional)
Cs 0.0000 0.0000 0.0000
Al 0.0000 0.0000 0.5000
Cr 0.0000 0.5000 0.5000
Cr 0.5000 0.0000 0.5000
Br 0.5000 0.5000 0.0000

space group	No. 123
formation energy from raw total energies	2.97	eV per formula unit

***

No. 6
A relaxed KAl2CrBr8 crystal, computed with PBE-GGA.

a b c (Å): 10.6901 10.6901 10.6901
angles (deg): 37.12 37.12 37.12
Element x y z (fractional)
K 0.0000 0.0000 0.0000
Al 0.2479 0.2479 0.2479
Al 0.7521 0.7521 0.7521
Cr 0.5000 0.5000 0.5000
Br 0.1039 0.7760 0.4488
Br 0.2240 0.5512 0.8961
Br 0.3259 0.3259 0.3259
Br 0.4488 0.1039 0.7760
Br 0.5512 0.8961 0.2240
Br 0.6741 0.6741 0.6741
Br 0.7760 0.4488 0.1039
Br 0.8961 0.2240 0.5512

space group	No. 148
formation energy from raw total energies	-12.24	eV per formula unit